# LiYSi2

A relaxed LiYSi2 crystal (PBE, the Alexandria database).

## Properties
space group: F-43m
M_tot: 0.000 μB per cell
E_form (uncorrected): -0.02 eV/atom

Structure (POSCAR):
```
LiYSi2
1.0
-0.497 -4.413 1.591
3.196 -1.816 2.957
-1.131 -0.766 4.515
Si Li Y
2 1 1
direct
0.000 0.000 0.000 Si
0.250 0.250 0.250 Si
0.500 0.500 0.500 Li
0.750 0.750 0.750 Y
```